Here is a relaxed structure of BeCoP2O from Alexandria via LeMat-Bulk. Energies are from PBE+U.

Relative energy among the computed polymorphs in meV per atom: 0.0
Crystal system: tetragonal
Size of the total moment in μB per formula unit: 2.49
DFT total energy in eV per formula unit: -24.33

abc: 4.8338 4.8338 2.8598
angles: 90.00 90.00 90.00
Each line ends with the local moment (μB).
Atoms (fractional coordinates):
O  0.0000  0.0000  0.5000  0.04
Co  0.5000  0.5000  0.5000  2.44
P  0.5000  0.0000  0.0000  0.00
P  0.0000  0.5000  0.0000  0.00
Be  0.0000  0.0000  0.0000  0.00